Arrangement 1

Computed, not measured: a relaxed structure of CdS2Cl2 at the PBE level of DFT.

Values from the calculation:
Total moment: 0.00 μB/f.u.

Structure (POSCAR):
```
CdS2Cl2
1.0
-0.145 2.143 3.333
-0.162 -1.661 3.597
10.918 0.021 1.042
Cl S Cd
2 2 1
Cartesian
1.336 0.158 2.374
9.275 0.345 5.597
5.818 0.193 3.179
4.792 0.310 4.793
0.000 0.000 0.000
```

Arrangement 2

Computed, not measured: a relaxed structure of CdS2Cl2 at the PBE level of DFT.

Values from the calculation:
Total moment: 0.00 μB/f.u.

Structure (POSCAR):
```
CdS2Cl2
1.0
-6.148 -0.736 2.879
-0.589 -6.183 -2.837
2.042 -1.965 3.859
Cl S Cd
4 4 2
Cartesian
-3.758 -3.101 3.380
-4.014 -6.188 1.943
-0.937 -5.783 0.521
-0.680 -2.696 1.958
-3.743 -1.055 1.443
-2.994 -5.864 -1.402
-5.890 -4.368 0.893
-0.846 -2.551 -0.851
-3.368 -3.459 0.021
0.000 0.000 0.000
```

Stability ranking, top and bottom: arrangement 1 is the most stable and arrangement 2 is the least stable.